A geometry-optimized Ba2Cd3Au4 structure. Source: Alexandria, functional PBE.

Computed properties:
**Energy relative to the elements**: -0.48 eV/atom
**Final energy**: -0.1965 Ry/atom
**Symmetry**: No. 64
**N(E_F)**: 2.767 states/eV/f.u.
**M_tot**: 0.0 μB/f.u.

Lattice parameters (Å, degrees): 6.507 8.568 9.146 90.00 110.84 90.00
Fractional positions:
Ba 0.115 0.583 0.230
Ba 0.885 0.417 0.770
Ba 0.385 0.083 0.770
Ba 0.615 0.917 0.230
Cd 0.000 0.000 0.000
Cd 0.500 0.500 0.000
Cd 0.534 0.750 0.569
Cd 0.966 0.250 0.431
Cd 0.466 0.250 0.431
Cd 0.034 0.750 0.569
Au 0.704 0.750 0.908
Au 0.796 0.250 0.092
Au 0.296 0.250 0.092
Au 0.204 0.750 0.908
Au 0.187 0.965 0.374
Au 0.813 0.035 0.626
Au 0.313 0.465 0.626
Au 0.687 0.535 0.374